Compound: BaPm2NdHg4
Source: Alexandria via LeMat-Bulk
Functional: PBE
Structure: relaxed

- formation energy (eV/atom) = -0.431
- calculated total energy (eV per cell) = -20.8

Structure (POSCAR):
```
BaPm2NdHg4
1.0
2.754 1.590 9.143
-2.754 1.590 9.143
0.000 -3.180 9.143
Ba Pm Nd Hg
1 2 1 4
Direct
0.000 0.000 0.000
0.248 0.248 0.248
0.752 0.752 0.752
0.500 0.500 0.500
0.129 0.129 0.129
0.383 0.383 0.383
0.617 0.617 0.617
0.871 0.871 0.871
```